Record 1
# La2AgBRu

An optimized crystal structure of La2AgBRu (PBE, Alexandria via LeMat-Bulk).

Structure (POSCAR):
```
La2AgBRu
1.0
-3.2539 3.3518 -2.7798
-2.2697 -4.2669 -2.4881
-2.7311 -0.2415 2.9057
Ru B Ag La
1 1 1 2
Direct
0.0000 0.0000 0.5000 Ru
0.0000 0.0000 0.0000 B
0.5000 0.5000 0.5000 Ag
0.0000 0.5000 0.0000 La
0.5000 0.0000 0.0000 La
```

Results
formation enthalpy at 0 K	-0.84	eV/f.u.
space group	P4/mmm
crystal system	tetragonal
ρ	7.0	Mg/m³
magnetic moment	0.00	μB per atom

Record 2
# LaAgBSe2

An optimized crystal structure of LaAgBSe2 (PBE, Alexandria via LeMat-Bulk).

Structure (POSCAR):
```
LaAgBSe2
1.0
-3.3952 3.9572 2.3038
-4.0091 -0.9841 -4.2181
-2.4440 -3.9914 3.2541
B Se Ag La
1 2 1 1
Direct
0.5000 0.5000 0.5000 B
0.0000 0.0000 0.5000 Se
0.5000 0.0000 0.0000 Se
0.0000 0.5000 0.0000 Ag
0.0000 0.0000 0.0000 La
```

Results
space group	P4/mmm
uncorrected formation energy	4.39	eV/f.u.
crystal system	tetragonal
ρ	3.6	Mg/m³
magnetic moment	0.00	μB per atom

Record 3
# LaTiAg2B

An optimized crystal structure of LaTiAg2B (PBE, Alexandria via LeMat-Bulk).

Structure (POSCAR):
```
LaTiAg2B
1.0
4.5082 0.0000 0.0000
0.0000 4.6272 0.0000
0.0000 0.0000 4.5082
B Ti Ag La
1 1 2 1
Direct
0.0000 0.0000 0.0000 B
0.0000 0.5000 0.0000 Ti
0.0000 0.0000 0.5000 Ag
0.5000 0.0000 0.0000 Ag
0.5000 0.5000 0.5000 La
```

Results
formation enthalpy at 0 K	0.73	eV/f.u.
space group	P4/mmm
crystal system	tetragonal
ρ	7.3	Mg/m³
magnetic moment	0.00	μB per atom

Record 4
# LaZr2AgB

An optimized crystal structure of LaZr2AgB (PBE, Alexandria via LeMat-Bulk).

Structure (POSCAR):
```
LaZr2AgB
1.0
5.2440 0.0000 0.0000
0.0000 4.5497 0.0000
0.0000 0.0000 5.2440
B Zr Ag La
1 2 1 1
Direct
0.0000 0.5000 0.0000 B
0.0000 0.0000 0.5000 Zr
0.5000 0.0000 0.0000 Zr
0.5000 0.5000 0.5000 Ag
0.0000 0.0000 0.0000 La
```

Results
formation enthalpy at 0 K	8.44	eV/f.u.
space group	P4/mmm
crystal system	tetragonal
ρ	5.8	Mg/m³
magnetic moment	0.00	μB per atom

Record 5
# Li3AgB

An optimized crystal structure of Li3AgB (PBE, Alexandria via LeMat-Bulk).

Structure (POSCAR):
```
Li3AgB
1.0
4.2529 0.0000 0.0000
0.0000 4.2529 0.0000
0.0000 0.0000 4.2529
B Ag Li
1 1 3
Direct
0.0000 0.0000 0.0000 B
0.5000 0.5000 0.5000 Ag
0.0000 0.5000 0.0000 Li
0.0000 0.0000 0.5000 Li
0.5000 0.0000 0.0000 Li
```

Results
formation enthalpy at 0 K	2.30	eV/f.u.
space group	Pm-3m
crystal system	cubic
E above lowest polymorph	0	meV/atom
ρ	3.0	Mg/m³
magnetic moment	0.19	μB per atom

Record 6
# LiAg3B

An optimized crystal structure of LiAg3B (PBE, Alexandria via LeMat-Bulk).

Structure (POSCAR):
```
LiAg3B
1.0
4.4758 0.0000 0.0000
0.0000 4.4758 0.0000
0.0000 0.0000 4.4758
B Ag Li
1 3 1
Direct
0.5000 0.5000 0.5000 B
0.0000 0.5000 0.0000 Ag
0.0000 0.0000 0.5000 Ag
0.5000 0.0000 0.0000 Ag
0.0000 0.0000 0.0000 Li
```

Results
formation enthalpy at 0 K	6.16	eV/f.u.
space group	Pm-3m
crystal system	cubic
E above lowest polymorph	1008	meV/atom
ρ	6.3	Mg/m³
magnetic moment	0.00	μB per atom

| no. | Fermi-level density of states (states/eV per cell) |
| --- | --- |
| 1 | 4.17 |
| 2 | 3.16 |
| 3 | 4.33 |
| 4 | 5.09 |
| 5 | 2.01 |
| 6 | 1.75 |